[1]
This record from Alexandria describes crystalline Dy8YTh4 at its relaxed geometry. The functional is PBE.

```
13
Lattice="-2.380 1.604 -6.802 -3.338 -5.286 3.928 -2.882 6.725 6.600" Properties=species:S:1:pos:R:3 pbc="T T T"
Dy -1.860 0.851 2.608
Dy -2.903 1.555 -0.375
Dy -3.734 -2.116 4.814
Dy -4.866 5.159 -1.088
Dy -6.740 2.192 1.117
Dy -5.696 1.488 4.101
Dy -3.690 3.989 2.231
Dy -4.909 -0.945 1.494
Th -1.190 0.802 -3.401
Th -1.669 -2.643 1.964
Th -2.859 -1.841 -1.437
Th 0.000 0.000 0.000
Y -3.110 0.720 5.264
```

Computed properties:
The symmetry is R-3m, No. 166. For the formation energy, the calculation gives 227 meV/atom.

=====

[2]
This record from Alexandria describes crystalline PrBi2Pb at its relaxed geometry. The functional is PBE.

```
4
Lattice="-0.956 1.493 -4.267 -2.292 -4.553 -1.080 -4.553 1.893 1.683" Properties=species:S:1:pos:R:3 pbc="T T T"
Bi -2.277 0.947 0.842
Bi -1.146 -2.277 -0.540
Pb -0.478 0.747 -2.133
Pr -3.901 -0.583 -1.832
```

Computed properties:
The symmetry is P4/mmm, No. 123. The value obtained for the distance to the lowest polymorph of the same formula is 0.012 eV per atom. For the formation energy, the calculation gives -444 meV/atom.

=====

[3]
This record from Alexandria describes crystalline La3ZrCo at its relaxed geometry. The functional is PBE.

```
5
Lattice="-2.731 -4.560 -0.583 4.249 -2.763 1.706 -1.756 0.408 5.034" Properties=species:S:1:pos:R:3 pbc="T T T"
La -0.878 0.204 2.517
La -1.366 -2.280 -0.292
La 2.124 -1.381 0.853
Zr -0.119 -3.457 3.078
Co 0.000 0.000 0.000
```

Computed properties:
The symmetry is Pm-3m, No. 221. For the formation energy, the calculation gives 244 meV/atom.

=====

[4]
This record from Alexandria describes crystalline La4SO5 at its relaxed geometry. The functional is PBE.

```
20
Lattice="-4.115 4.069 1.326 -4.776 -5.541 2.181 3.325 0.542 8.657" Properties=species:S:1:pos:R:3 pbc="T T T"
La 0.795 0.260 2.402
La -3.213 0.538 1.201
La -4.084 -1.818 6.666
La -5.636 1.309 4.343
La -1.627 1.032 5.544
La -5.533 -2.153 2.260
La -3.818 1.606 9.074
La 2.303 0.506 6.328
S -1.509 -1.724 5.672
S -3.331 3.294 1.073
O -5.713 -0.883 5.419
O -3.276 1.944 4.306
O -5.369 0.178 2.051
O -4.503 -0.686 8.571
O 0.529 1.392 4.694
O -3.903 -3.088 3.507
O -1.564 -0.375 2.439
O -1.789 -2.743 9.012
O 0.550 -0.030 7.944
O -2.065 2.142 7.458
```

Computed properties:
Its raw formation energy is -3.055 eV/atom. The symmetry is Pmmn, No. 59.

=====

[5]
This record from Alexandria describes crystalline BH2I at its relaxed geometry. The functional is PBE.

```
16
Lattice="-2.854 3.984 -0.652 -4.485 -2.523 4.212 4.791 4.733 7.943" Properties=species:S:1:pos:R:3 pbc="T T T"
H -0.593 1.683 7.124
H -3.536 3.902 7.577
H -1.250 4.845 10.582
H 0.988 2.292 3.925
H -3.138 2.028 1.625
H -1.298 1.348 0.921
H -1.955 4.511 4.378
H 0.590 4.166 9.877
I -1.112 4.077 1.656
I -1.590 1.013 3.768
I -1.436 2.117 9.846
I -0.958 5.181 7.734
B 0.672 1.142 4.028
B -1.947 1.956 1.723
B -3.220 5.052 7.474
B -0.601 4.238 9.779
```

Computed properties:
The symmetry is Pnna, No. 52. The value obtained for the distance to the lowest polymorph of the same formula is 0.000 eV per atom.

=====

[6]
This record from Alexandria describes crystalline LaZrCl at its relaxed geometry. The functional is PBE.

```
12
Lattice="7.501 0.000 0.061 0.000 5.294 0.000 -3.801 0.000 8.325" Properties=species:S:1:pos:R:3 pbc="T T T"
La 0.174 2.647 4.130
La 2.407 0.000 6.815
La 4.308 2.647 2.652
La -1.726 0.000 8.292
Zr -2.293 2.647 6.361
Zr -1.692 0.000 4.952
Zr 0.209 2.647 0.790
Zr -0.392 0.000 2.198
Cl 2.847 2.647 5.340
Cl 4.748 0.000 1.177
Cl 1.550 2.647 8.102
Cl 3.451 0.000 3.939
```

Computed properties:
Its raw formation energy is -0.716 eV/atom. The symmetry is Cm, No. 8. The value obtained for the distance to the lowest polymorph of the same formula is 0.194 eV per atom.

=====

Which formula does entry 4 have? La4SO5